## ZnIrBr (PBE-GGA)

Data for a relaxed structure of ZnIrBr.

abc: 6.166 6.166 6.166
angles: 90.00 90.00 90.00
Space group F-43m (No. 216)
One atom of each set of equivalent atoms:
Zn  0.000  0.000  0.000 [4 per cell]
Ir  0.250  0.250  0.750 [4 per cell]
Br  0.250  0.250  0.250 [4 per cell]

ΔE_f (raw)	0.95	eV per atom
polymorph energy (0 for the lowest one)	171.4	kJ/mol of formula units
calculated volume	234	Å³ per cell
E_tot	-2.989	eV/atom